Compound: TaCdRe
Source: Alexandria
Functional: PBE-GGA
Structure: optimized geometry

Output
Offset from the most stable computed form, kcal/mol of atoms: 1.256
Calculated formation energy, eV/atom: 0.265
Density of states at the Fermi level, states/eV/cell: 2.466
Space-group type: No. 42

Cell: 7.5192 7.3208 2.8491 Å, 82.88 75.04 22.09°
Closest atoms and distances in Å follow each position.
Sites, in units of the cell vectors:
Ta1 0.0000 0.0000 0.0000  2 Re 2.62, 4 Ta 2.85
Cd1 0.6803 0.6803 0.3197  4 Cd 2.85, 2 Re 2.97, 2 Ta 3.04
Re1 0.3550 0.3550 0.6450  2 Ta 2.62, 4 Re 2.85



Compound: NbCo2BiBr
Source: Alexandria
Functional: PBE-GGA
Structure: optimized geometry

Output
Formation energy (no corrections), eV per atom: 1.360
Density of states at the Fermi level, states/eV/cell: 8.267
Space-group type: No. 123

Cell: 4.3039 4.3039 5.9090 Å, 90.00 90.00 90.00°
Closest atoms and distances in Å follow each position.
Sites, in units of the cell vectors:
Nb1 0.0000 0.0000 0.0000  4 Bi 3.04
Co1 0.0000 0.5000 0.5000  2 Br 2.15
Co2 0.5000 0.0000 0.5000  2 Br 2.15
Bi1 0.5000 0.5000 0.0000  2 Br 2.95, 4 Nb 3.04
Br1 0.5000 0.5000 0.5000  4 Co 2.15